(1)
First-principles (PBE-GGA) data for an optimized crystal structure of TcMoP2, as listed in Alexandria.

## Properties
VASP energy   -31.65 eV per cell
Size of the total moment   0.00 Bohr magnetons per cell
Excess energy over the best structure of this formula in the dataset   62.1 kJ per mole of atoms
Fermi-level density of states   0.82 states/eV per atom
ΔE_f   0.09 eV per atom

Lattice parameters (Å, degrees): 2.9230 2.9230 7.5608 90.00 90.00 117.30
Last column: nearest neighbours and their distance in Å.
Sites, in units of the cell vectors:
Mo (0.5000, 0.5000, 0.7500)  4 P 2.44
P (0.0000, 0.0000, 0.0026)  2 Tc 2.41, 2 Mo 2.44
P (0.0000, 0.0000, 0.4974)  2 Tc 2.41, 2 Mo 2.44
Tc (0.5000, 0.5000, 0.2500)  4 P 2.41

***

(2)
First-principles (PBE-GGA) data for an optimized crystal structure of AcAlBiO5, as listed in Alexandria.

## Properties
VASP energy   -108.76 eV per cell
Size of the total moment   1.20 Bohr magnetons per cell
Formation energy (no corrections)   -2232 meV/atom
Fermi-level density of states   0.43 states/eV per atom

Lattice parameters (Å, degrees): 5.8195 5.8195 8.6842 111.12 111.12 95.93
Last column: nearest neighbours and their distance in Å.
Sites, in units of the cell vectors:
Ac (0.3145, 0.6855, 0.2500)  7 O 2.50-2.66
Ac (0.6855, 0.3145, 0.7500)  7 O 2.50-2.66
Al (0.0000, 0.0000, 0.5000)  4 O 1.88-1.91
Al (0.0000, 0.0000, 0.0000)  4 O 1.88-1.91
Bi (0.7426, 0.2574, 0.2500)  5 O 2.15-2.30
Bi (0.2574, 0.7426, 0.7500)  5 O 2.15-2.30
O (0.0090, 0.9910, 0.2500)  2 Al 2.17, 1 Bi 2.30
O (0.9910, 0.0090, 0.7500)  2 Al 2.17, 1 Bi 2.30
O (0.8918, 0.3002, 0.0519)  1 Al 1.88
O (0.1082, 0.6998, 0.9481)  1 Al 1.88
O (0.6998, 0.1082, 0.4481)  1 Al 1.88
O (0.3002, 0.8918, 0.5519)  1 Al 1.88
O (0.7822, 0.6597, 0.3838)  1 Al 1.91
O (0.2178, 0.3403, 0.6162)  1 Al 1.91
O (0.3403, 0.2178, 0.1162)  1 Al 1.91
O (0.6597, 0.7822, 0.8838)  1 Al 1.91